First-principles (GGA-PBEsol) data for a relaxed structure of BaNaI3, as listed in the Alexandria database.

Crystal system = cubic
Uncorrected formation energy = -1.25 eV/atom
Mass density = 3087 kg/m³

POSCAR file:
```
BaNaI3
1.0
6.627 0.000 0.000
0.000 6.627 0.000
0.000 0.000 6.627
Ba Na I
1 1 3
Direct
0.000 0.000 0.000
0.500 0.500 0.500
0.000 0.000 0.500
0.000 0.500 0.000
0.500 0.000 0.000
```

=====

First-principles (GGA-PBEsol) data for a relaxed structure of In2HgCl, as listed in the Alexandria database.

Crystal system = trigonal
Uncorrected formation energy = -0.32 eV/atom
Mass density = 7703 kg/m³

POSCAR file:
```
In2HgCl
1.0
1.780 1.027 9.151
-1.780 1.027 9.151
0.000 -2.055 9.151
In Hg Cl
2 1 1
Direct
0.247 0.247 0.247
0.753 0.753 0.753
0.000 0.000 0.000
0.500 0.500 0.500
```

=====

First-principles (GGA-PBEsol) data for a relaxed structure of KNiAs3, as listed in the Alexandria database.

Crystal system = cubic
DFT formation energy = 0.79 eV per formula unit
Mass density = 5058 kg/m³

POSCAR file:
```
KNiAs3
1.0
4.731 0.000 0.000
0.000 4.731 0.000
0.000 0.000 4.731
K Ni As
1 1 3
Direct
0.000 0.000 0.000
0.500 0.500 0.500
0.000 0.500 0.500
0.500 0.000 0.500
0.500 0.500 0.000
```

=====

First-principles (GGA-PBEsol) data for a relaxed structure of Sr2TlAu, as listed in the Alexandria database.

Crystal system = tetragonal
DFT formation energy = -2.09 eV per formula unit
Mass density = 8204 kg/m³

POSCAR file:
```
Sr2TlAu
1.0
5.527 0.000 0.000
0.000 5.527 0.000
0.000 0.000 3.821
Sr Tl Au
2 1 1
Direct
0.000 0.500 0.000
0.500 0.000 0.000
0.000 0.000 0.500
0.500 0.500 0.500
```

=====

First-principles (GGA-PBEsol) data for a relaxed structure of AgP2Ir, as listed in the Alexandria database.

Crystal system = tetragonal
DFT formation energy = 0.92 eV per formula unit
Mass density = 10504 kg/m³

POSCAR file:
```
AgP2Ir
1.0
-2.128 2.128 3.159
2.128 -2.128 3.159
2.128 2.128 -3.159
Ag P Ir
1 2 1
Direct
0.000 0.000 0.000
0.250 0.750 0.500
0.750 0.250 0.500
0.500 0.500 0.000
```

=====

First-principles (GGA-PBEsol) data for a relaxed structure of LiSi2Tc, as listed in the Alexandria database.

Crystal system = tetragonal
Uncorrected formation energy = 0.19 eV/atom
Mass density = 4836 kg/m³

POSCAR file:
```
LiSi2Tc
1.0
2.622 0.000 0.000
0.000 2.622 0.000
0.000 0.000 8.048
Li Si Tc
1 2 1
Direct
0.000 0.000 0.000
0.000 0.000 0.508
0.500 0.500 0.250
0.500 0.500 0.728
```

=====

First-principles (GGA-PBEsol) data for a relaxed structure of Tb6Ge3Se14, as listed in the Alexandria database.

Crystal system = trigonal
Uncorrected formation energy = -1.32 eV/atom
Mass density = 6993 kg/m³

POSCAR file:
```
Tb6Ge3Se14
1.0
10.254 0.000 0.000
-5.127 8.880 0.000
0.000 0.000 5.937
Tb Ge Se
6 3 14
Direct
0.025 0.465 0.000
0.308 0.201 0.504
0.441 0.975 0.000
0.535 0.559 0.000
0.799 0.107 0.504
0.893 0.692 0.504
0.000 0.000 0.087
0.333 0.667 0.581
0.667 0.333 0.231
0.000 0.000 0.695
0.088 0.241 0.254
0.153 0.912 0.254
0.180 0.755 0.749
0.245 0.425 0.749
0.333 0.667 0.189
0.405 0.236 0.980
0.506 0.073 0.475
0.567 0.494 0.475
0.575 0.820 0.749
0.759 0.847 0.254
0.764 0.169 0.980
0.831 0.595 0.980
0.927 0.433 0.475
```

=====

First-principles (GGA-PBEsol) data for a relaxed structure of Te5Ru, as listed in the Alexandria database.

Crystal system = orthorhombic
Uncorrected formation energy = 0.05 eV/atom
Mass density = 7432 kg/m³

POSCAR file:
```
Te5Ru
1.0
2.006 -7.082 0.000
2.006 7.082 0.000
0.000 0.000 5.813
Te Ru
5 1
Direct
0.000 0.000 0.000
0.333 0.667 0.000
0.380 0.620 0.500
0.620 0.380 0.500
0.667 0.333 0.000
0.000 0.000 0.500
```

=====

First-principles (GGA-PBEsol) data for a relaxed structure of NbSiPS2, as listed in the Alexandria database.

Crystal system = tetragonal
Uncorrected formation energy = 0.30 eV/atom
Mass density = 3338 kg/m³

POSCAR file:
```
NbSiPS2
1.0
4.686 0.000 0.000
0.000 4.686 0.000
0.000 0.000 4.895
Nb Si P S
1 1 1 2
Direct
0.000 0.000 0.000
0.500 0.500 0.500
0.000 0.000 0.500
0.000 0.500 0.000
0.500 0.000 0.000
```

=====

First-principles (GGA-PBEsol) data for a relaxed structure of AlTeNO2, as listed in the Alexandria database.

Crystal system = tetragonal
Uncorrected formation energy = 0.01 eV/atom
Mass density = 5111 kg/m³

POSCAR file:
```
AlTeNO2
1.0
3.981 0.000 0.000
0.000 3.981 0.000
0.000 0.000 4.112
Al Te N O
1 1 1 2
Direct
0.000 0.000 0.000
0.500 0.500 0.500
0.500 0.500 0.000
0.000 0.500 0.500
0.500 0.000 0.500
```

=====

First-principles (GGA-PBEsol) data for a relaxed structure of BaO, as listed in the Alexandria database.

Crystal system = orthorhombic
Uncorrected formation energy = -2.49 eV/atom
Mass density = 6098 kg/m³

POSCAR file:
```
BaO
1.0
1.929 -3.342 0.000
1.929 3.342 0.000
0.000 0.000 51.822
Ba O
16 16
Direct
0.000 0.000 0.000
0.000 0.000 0.500
0.003 0.997 0.625
0.003 0.997 0.875
0.329 0.671 0.250
0.332 0.668 0.063
0.332 0.668 0.437
0.337 0.663 0.687
0.337 0.663 0.813
0.663 0.337 0.187
0.663 0.337 0.313
0.668 0.332 0.563
0.668 0.332 0.937
0.671 0.329 0.750
0.997 0.003 0.125
0.997 0.003 0.375
0.004 0.996 0.718
0.004 0.996 0.782
0.330 0.670 0.156
0.330 0.670 0.344
0.334 0.666 0.531
0.334 0.666 0.969
0.336 0.664 0.594
0.336 0.664 0.906
0.664 0.336 0.094
0.664 0.336 0.406
0.666 0.334 0.031
0.666 0.334 0.469
0.670 0.330 0.656
0.670 0.330 0.844
0.996 0.004 0.218
0.996 0.004 0.282
```

=====

First-principles (GGA-PBEsol) data for a relaxed structure of LiSi6Bi9O26, as listed in the Alexandria database.

Crystal system = trigonal
Uncorrected formation energy = -1.98 eV/atom
Mass density = 7390 kg/m³

POSCAR file:
```
LiSi6Bi9O26
1.0
9.587 0.000 0.000
-4.793 8.302 0.000
0.000 0.000 13.960
Li Si Bi O
2 12 18 52
Direct
0.333 0.667 0.249
0.667 0.333 0.751
0.022 0.400 0.872
0.031 0.406 0.370
0.375 0.969 0.370
0.377 0.978 0.872
0.400 0.377 0.128
0.406 0.375 0.630
0.594 0.625 0.370
0.600 0.623 0.872
0.623 0.022 0.128
0.625 0.031 0.630
0.969 0.594 0.630
0.978 0.600 0.128
0.009 0.769 0.874
0.010 0.769 0.373
0.231 0.240 0.874
0.231 0.241 0.373
0.240 0.009 0.126
0.241 0.010 0.627
0.333 0.667 0.018
0.333 0.667 0.484
0.333 0.667 0.742
0.667 0.333 0.258
0.667 0.333 0.516
0.667 0.333 0.982
0.759 0.990 0.373
0.760 0.991 0.874
0.769 0.759 0.627
0.769 0.760 0.126
0.990 0.231 0.627
0.991 0.231 0.126
0.000 0.000 0.124
0.000 0.000 0.384
0.000 0.000 0.616
0.000 0.000 0.876
0.067 0.305 0.288
0.083 0.328 0.784
0.095 0.351 0.966
0.106 0.364 0.466
0.120 0.596 0.862
0.136 0.602 0.357
0.161 0.658 0.622
0.172 0.679 0.127
0.237 0.933 0.288
0.245 0.917 0.784
0.256 0.905 0.966
0.258 0.894 0.466
0.305 0.237 0.712
0.321 0.493 0.127
0.328 0.245 0.216
0.342 0.503 0.622
0.351 0.256 0.034
0.364 0.258 0.534
0.398 0.535 0.357
0.404 0.523 0.862
0.465 0.864 0.357
0.477 0.880 0.862
0.493 0.172 0.873
0.497 0.839 0.622
0.503 0.161 0.378
0.507 0.828 0.127
0.523 0.120 0.138
0.535 0.136 0.643
0.596 0.477 0.138
0.602 0.465 0.643
0.636 0.742 0.466
0.649 0.744 0.966
0.658 0.497 0.378
0.672 0.755 0.784
0.679 0.507 0.873
0.695 0.763 0.288
0.742 0.106 0.534
0.744 0.095 0.034
0.755 0.083 0.216
0.763 0.067 0.712
0.828 0.321 0.873
0.839 0.342 0.378
0.864 0.398 0.643
0.880 0.404 0.138
0.894 0.636 0.534
0.905 0.649 0.034
0.917 0.672 0.216
0.933 0.695 0.712
```

=====

First-principles (GGA-PBEsol) data for a relaxed structure of BaAgO3, as listed in the Alexandria database.

Crystal system = cubic
Uncorrected formation energy = -1.08 eV/atom
Mass density = 7016 kg/m³

POSCAR file:
```
BaAgO3
1.0
4.109 0.000 0.000
0.000 4.109 0.000
0.000 0.000 4.109
Ba Ag O
1 1 3
Direct
0.000 0.000 0.000
0.500 0.500 0.500
0.000 0.500 0.500
0.500 0.000 0.500
0.500 0.500 0.000
```

=====

First-principles (GGA-PBEsol) data for a relaxed structure of Al2AuCl, as listed in the Alexandria database.

Crystal system = monoclinic
Uncorrected formation energy = -0.21 eV/atom
Mass density = 6512 kg/m³

POSCAR file:
```
Al2AuCl
1.0
5.736 -1.426 0.000
5.736 1.426 0.000
-1.500 0.000 4.465
Al Au Cl
2 1 1
Direct
0.000 0.000 0.000
0.711 0.711 0.350
0.290 0.290 0.907
0.503 0.503 0.594
```

=====

First-principles (GGA-PBEsol) data for a relaxed structure of LiPRh, as listed in the Alexandria database.

Crystal system = tetragonal
DFT formation energy = -1.83 eV per formula unit
Mass density = 6101 kg/m³

POSCAR file:
```
LiPRh
1.0
-1.515 1.515 4.174
1.515 -1.515 4.174
1.515 1.515 -4.174
Li P Rh
1 1 1
Direct
0.000 0.000 0.000
0.319 0.319 0.000
0.696 0.696 0.000
```

=====

First-principles (GGA-PBEsol) data for a relaxed structure of RbSeF2, as listed in the Alexandria database.

Crystal system = cubic
Uncorrected formation energy = -1.08 eV/atom
Mass density = 4616 kg/m³

POSCAR file:
```
RbSeF2
1.0
0.000 3.315 3.315
3.315 0.000 3.315
3.315 3.315 0.000
Rb Se F
1 1 2
Direct
0.000 0.000 0.000
0.500 0.500 0.500
0.250 0.250 0.250
0.750 0.750 0.750
```

=====

First-principles (GGA-PBEsol) data for a relaxed structure of Zn2MoOs, as listed in the Alexandria database.

Crystal system = monoclinic
DFT formation energy = 1.02 eV per formula unit
Mass density = 12227 kg/m³

POSCAR file:
```
Zn2MoOs
1.0
2.613 -4.345 0.000
2.613 4.345 0.000
-0.818 0.000 2.494
Zn Mo Os
2 1 1
Direct
0.000 0.500 0.000
0.500 0.000 0.000
0.000 0.000 0.500
0.500 0.500 0.500
```

=====

First-principles (GGA-PBEsol) data for a relaxed structure of SrAl3Tc, as listed in the Alexandria database.

Crystal system = cubic
DFT formation energy = -1.24 eV per formula unit
Mass density = 4010 kg/m³

POSCAR file:
```
SrAl3Tc
1.0
4.797 0.000 0.000
0.000 4.797 0.000
0.000 0.000 4.797
Sr Al Tc
1 3 1
Direct
0.000 0.000 0.000
0.000 0.500 0.500
0.500 0.000 0.500
0.500 0.500 0.000
0.500 0.500 0.500
```

=====

First-principles (GGA-PBEsol) data for a relaxed structure of CdGa2Pt2, as listed in the Alexandria database.

Crystal system = tetragonal
DFT formation energy = -2.32 eV per formula unit
Mass density = 12589 kg/m³

POSCAR file:
```
CdGa2Pt2
1.0
-1.866 1.866 6.078
1.866 -1.866 6.078
1.866 1.866 -6.078
Cd Ga Pt
1 2 2
Direct
0.000 0.000 0.000
0.250 0.750 0.500
0.750 0.250 0.500
0.390 0.390 0.000
0.610 0.610 0.000
```

=====

First-principles (GGA-PBEsol) data for a relaxed structure of FeCo2Se, as listed in the Alexandria database.

Crystal system = trigonal
Uncorrected formation energy = 0.32 eV/atom
Mass density = 8581 kg/m³

POSCAR file:
```
FeCo2Se
1.0
1.373 0.793 7.484
-1.373 0.793 7.484
0.000 -1.586 7.484
Fe Co Se
1 2 1
Direct
0.000 0.000 0.000
0.251 0.251 0.251
0.503 0.503 0.503
0.751 0.751 0.751
```

=====

First-principles (GGA-PBEsol) data for a relaxed structure of SrCo5, as listed in the Alexandria database.

Crystal system = tetragonal
DFT formation energy = 2.37 eV per formula unit
Mass density = 7753 kg/m³

POSCAR file:
```
SrCo5
1.0
2.941 0.000 0.000
0.000 2.941 0.000
0.000 0.000 9.464
Sr Co
1 5
Direct
0.000 0.000 0.000
0.000 0.000 0.365
0.000 0.000 0.635
0.500 0.500 0.245
0.500 0.500 0.500
0.500 0.500 0.755
```

=====

First-principles (GGA-PBEsol) data for a relaxed structure of AgICl2, as listed in the Alexandria database.

Crystal system = trigonal
Uncorrected formation energy = -0.23 eV/atom
Mass density = 4473 kg/m³

POSCAR file:
```
AgICl2
1.0
2.054 1.186 7.763
-2.054 1.186 7.763
0.000 -2.372 7.763
Ag I Cl
1 1 2
Direct
0.000 0.000 0.000
0.500 0.500 0.500
0.390 0.390 0.390
0.610 0.610 0.610
```